Entry 1:
A relaxed CaCrH2 crystal. Source: the Alexandria database, functional PBE-GGA.

abc: 5.042 5.042 4.999
angles: 59.71 59.71 90.00
Element x y z (fractional)
Cr: 0.000 0.000 0.000
Cr: 0.750 0.250 0.500
Ca: 0.250 0.750 0.500
Ca: 0.500 0.500 0.000
H: 0.713 0.125 0.250
H: 0.037 0.625 0.250
H: 0.875 0.963 0.750
H: 0.375 0.287 0.750

Computed properties:
- polymorph energy (0 for the lowest one) (meV per atom) = 0

Entry 2:
A relaxed CaCr2H crystal. Source: the Alexandria database, functional PBE-GGA.

abc: 4.825 4.825 4.825
angles: 60.00 60.00 60.00
Element x y z (fractional)
Ca: 0.500 0.500 0.500
Cr: 0.750 0.750 0.750
Cr: 0.250 0.250 0.250
H: 0.000 0.000 0.000

Computed properties:
- polymorph energy (0 for the lowest one) (meV per atom) = 873

Entry 3:
A relaxed CaCr2H crystal. Source: the Alexandria database, functional PBE-GGA.

abc: 5.430 5.430 5.431
angles: 60.00 60.00 90.00
Element x y z (fractional)
Cr: 0.375 0.125 0.250
Cr: 0.375 0.625 0.250
Cr: 0.375 0.625 0.750
Cr: 0.875 0.625 0.750
H: 0.250 0.750 0.500
H: 0.500 0.500 0.000
Ca: 0.000 0.000 0.000
Ca: 0.750 0.250 0.500

Computed properties:
- polymorph energy (0 for the lowest one) (meV per atom) = 0

Entry 4:
A relaxed CaCr2H6 crystal. Source: the Alexandria database, functional PBE-GGA.

abc: 4.628 4.320 4.320
angles: 120.00 90.00 90.00
Element x y z (fractional)
H: 0.756 0.000 0.500
H: 0.244 0.500 0.000
H: 0.244 0.000 0.500
H: 0.756 0.500 0.500
H: 0.756 0.500 0.000
H: 0.244 0.500 0.500
Ca: 0.000 0.000 0.000
Cr: 0.500 0.333 0.667
Cr: 0.500 0.667 0.333

Entry 5:
A relaxed CaCr2HgH crystal. Source: the Alexandria database, functional PBE-GGA.

abc: 4.687 5.619 4.687
angles: 90.00 90.00 90.00
Element x y z (fractional)
Cr: 0.500 0.000 0.000
Cr: 0.000 0.000 0.500
H: 0.500 0.500 0.500
Ca: 0.000 0.000 0.000
Hg: 0.000 0.500 0.000

Entry 6:
A relaxed K2CaCrH6 crystal. Source: the Alexandria database, functional PBE-GGA.

abc: 5.674 5.959 5.959
angles: 120.00 90.00 90.00
Element x y z (fractional)
K: 0.876 0.667 0.333
K: 0.124 0.333 0.667
Cr: 0.000 0.000 0.000
H: 0.187 0.864 0.136
H: 0.187 0.864 0.727
H: 0.813 0.727 0.864
H: 0.813 0.136 0.273
H: 0.813 0.136 0.864
H: 0.187 0.273 0.136
Ca: 0.500 0.000 0.000

Entry 7:
A relaxed LiCa2CrH6 crystal. Source: the Alexandria database, functional PBE-GGA.

abc: 5.112 5.112 5.112
angles: 60.00 60.00 60.00
Element x y z (fractional)
Li: 0.500 0.500 0.500
H: 0.759 0.759 0.241
H: 0.241 0.759 0.241
H: 0.759 0.241 0.241
H: 0.241 0.241 0.759
H: 0.241 0.759 0.759
H: 0.759 0.241 0.759
Cr: 0.000 0.000 0.000
Ca: 0.750 0.750 0.750
Ca: 0.250 0.250 0.250

Entry 8:
A relaxed CaCrHN2 crystal. Source: the Alexandria database, functional PBE-GGA.

abc: 3.762 3.762 3.561
angles: 90.00 90.00 90.00
Element x y z (fractional)
N: 0.500 0.000 0.000
N: 0.000 0.500 0.000
H: 0.000 0.000 0.500
Ca: 0.500 0.500 0.500
Cr: 0.000 0.000 0.000

no.,VASP energy (eV per cell),M_tot (μB per atom),density of states at the Fermi level (states/eV/f.u.)
1,-35.41,0.15,4.2
2,-18.99,2.23,3.0
3,-44.98,0.00,7.4
4,-42.74,0.15,4.7
5,-11.30,0.01,10.9
6,-35.78,0.20,3.9
7,-39.67,0.10,6.4
8,-34.25,0.08,1.8